No. 1
## AcAgPd2 (PBE-GGA)

Data for crystalline AcAgPd2 at its relaxed geometry.

Summary:
- Uncorrected energy: -78.6 eV for the cell shown
- E_form: -0.577 eV per atom
- Space group: Pnma (62)
- Spin magnetization: 0.000 μB per atom

Structure (extended XYZ):
```
16
Lattice="-2.3170 2.3927 -2.9491 1.3767 -5.4320 -5.4889 -8.7568 -5.0396 2.7911" Properties=species:S:1:pos:R:3 pbc="T T T"
Ac -1.9170 -3.5413 -6.4002
Ac -5.3866 -6.2723 -2.5346
Ac -4.3105 -1.8066 -3.1122
Ac -7.7801 -4.5376 0.7533
Pd -2.5782 -4.4189 -3.2373
Pd -5.0550 -3.5971 -0.6246
Pd -1.9366 -0.9375 -0.9168
Pd -1.8631 0.2297 -3.3829
Pd -7.1189 -3.6600 -2.4095
Pd -7.7605 -7.1415 -4.7300
Pd -4.6421 -4.4819 -5.0222
Pd -7.8340 -8.3086 -2.2639
Ag -2.8384 -6.6975 -4.8817
Ag -8.9624 -5.7043 -2.6197
Ag -6.8588 -1.3814 -0.7652
Ag -0.7347 -2.3747 -3.0271
```


No. 2
## Ac3Ag2Pd4 (PBE-GGA)

Data for crystalline Ac3Ag2Pd4 at its relaxed geometry.

Summary:
- Uncorrected energy: -88.8 eV for the cell shown
- E_form: -0.620 eV per atom
- Space group: P-6m2 (187)
- Polymorph energy (0 for the lowest one): 0.0 kJ per mole of atoms
- Spin magnetization: 0.000 μB per atom

Structure (extended XYZ):
```
18
Lattice="4.6970 0.0000 0.0000 -2.3485 4.0677 0.0000 0.0000 0.0000 24.1160" Properties=species:S:1:pos:R:3 pbc="T T T"
Ac 0.0000 2.7118 6.2337
Ac 0.0000 2.7118 22.1125
Ac 0.0000 2.7118 1.8043
Ac 0.0000 2.7118 14.1542
Ac 0.0000 2.7118 18.0021
Ac 0.0000 2.7118 10.0423
Pd 2.3485 1.3559 20.0790
Pd 2.3485 1.3559 16.0783
Pd 0.0000 0.0000 16.0778
Pd 0.0000 0.0000 8.0907
Pd 2.3485 1.3559 24.0951
Pd 2.3485 1.3559 8.0600
Pd 0.0000 0.0000 24.0604
Pd 2.3485 1.3559 12.0751
Ag 0.0000 0.0000 20.0625
Ag 0.0000 0.0000 12.0947
Ag 2.3485 1.3559 4.0170
Ag 0.0000 0.0000 4.0203
```


No. 3
## AcAgPd6 (PBE-GGA)

Data for crystalline AcAgPd6 at its relaxed geometry.

Summary:
- Uncorrected energy: -39.7 eV for the cell shown
- E_form: -0.193 eV per atom
- Space group: Pm-3 (200)
- Spin magnetization: 0.000 μB per atom

Structure (extended XYZ):
```
8
Lattice="5.2891 0.0000 0.0000 0.0000 5.2891 0.0000 0.0000 0.0000 5.2891" Properties=species:S:1:pos:R:3 pbc="T T T"
Ag 2.6445 2.6445 2.6445
Pd 1.3578 0.0000 2.6445
Pd 2.6445 3.9313 0.0000
Pd 2.6445 1.3578 0.0000
Pd 0.0000 2.6445 1.3578
Pd 0.0000 2.6445 3.9313
Pd 3.9313 0.0000 2.6445
Ac 0.0000 0.0000 0.0000
```


No. 4
## AcAg6Pd2 (PBE-GGA)

Data for crystalline AcAg6Pd2 at its relaxed geometry.

Summary:
- Uncorrected energy: -32.3 eV for the cell shown
- E_form: -0.076 eV per atom
- Space group: C2/m (12)
- Spin magnetization: 0.000 μB per atom

Structure (extended XYZ):
```
9
Lattice="6.2860 1.3171 1.2605 5.6866 6.9429 2.6766 5.6866 2.9784 6.8190" Properties=species:S:1:pos:R:3 pbc="T T T"
Ag 7.7379 4.6090 2.5542
Ag 8.8296 4.6406 6.4005
Ag 8.8296 6.5978 4.3556
Ag 9.9213 6.6293 8.2019
Ag 9.9213 8.4846 6.2635
Ag 7.7379 2.7538 4.4927
Pd 12.5520 7.1261 6.8203
Pd 5.1072 4.1122 3.9358
Ac 6.2859 1.3171 1.2605
```


No. 5
## Ac4AgPd (PBE-GGA)

Data for crystalline Ac4AgPd at its relaxed geometry.

Summary:
- Uncorrected energy: -51.1 eV for the cell shown
- E_form: -0.179 eV per atom
- Space group: I4_1md (109)
- Polymorph energy (0 for the lowest one): 14.0 kJ per mole of atoms
- Spin magnetization: 0.000 μB per atom

Structure (extended XYZ):
```
12
Lattice="-7.8363 -2.8243 -2.4691 6.2969 -1.1242 -5.8793 2.2468 -4.6072 7.0147" Properties=species:S:1:pos:R:3 pbc="T T T"
Ac -4.8775 -3.6276 -0.1441
Ac 2.1820 -2.6438 -1.6392
Ac -1.8781 -3.4231 -3.1469
Ac -1.5211 -5.8792 0.3019
Ac -4.5113 -6.0223 3.5459
Ac 2.6259 -5.0291 2.0321
Ac -1.1176 -1.5102 0.7861
Ac 5.6323 -4.9584 -1.1806
Ag 3.5040 -4.8353 -3.5965
Ag -1.1527 -2.9567 -6.2513
Pd -0.3876 -0.9943 -2.1023
Pd 4.2690 -2.8729 0.5525
```


No. 6
## Ac2Ag5Pd (PBE-GGA)

Data for crystalline Ac2Ag5Pd at its relaxed geometry.

Summary:
- Uncorrected energy: -60.1 eV for the cell shown
- E_form: -0.298 eV per atom
- Space group: Cmcm (63)
- Spin magnetization: 0.000 μB per atom

Structure (extended XYZ):
```
16
Lattice="4.5109 0.0000 0.0000 -2.2554 8.7139 0.0000 0.0000 0.0000 10.0822" Properties=species:S:1:pos:R:3 pbc="T T T"
Pd 2.2554 0.9814 2.5206
Pd 0.0000 7.7325 7.5617
Ag 2.2554 2.5542 4.8010
Ag 2.2554 1.7863 7.5617
Ag 0.0000 6.9276 2.5206
Ag 2.2554 2.5542 0.2401
Ag 0.0000 3.2971 8.9495
Ag 0.0000 6.1596 9.8421
Ag 2.2554 5.4167 1.1327
Ag 0.0000 6.1596 5.2812
Ag 2.2554 5.4167 3.9084
Ag 0.0000 3.2971 6.1738
Ac 2.2554 5.3724 7.5617
Ac 0.0000 3.3415 2.5206
Ac 0.0000 0.0000 5.0411
Ac 0.0000 0.0000 0.0000
```


No. 7
## Ac5AgPd2 (PBE-GGA)

Data for crystalline Ac5AgPd2 at its relaxed geometry.

Summary:
- Uncorrected energy: -74.6 eV for the cell shown
- E_form: -0.437 eV per atom
- Space group: I4/mcm (140)
- Spin magnetization: 0.001 μB per atom

Structure (extended XYZ):
```
16
Lattice="-5.2631 -1.0621 6.5839 5.6638 -5.1400 3.6984 2.8440 8.8772 -1.7756" Properties=species:S:1:pos:R:3 pbc="T T T"
Ac -0.5006 4.6380 4.0568
Ac 4.8921 3.6944 0.7981
Ac 2.1139 -3.4016 8.3951
Ac 3.2607 2.2555 4.7432
Ac -5.2631 -1.0621 6.5838
Ac 0.2004 -3.1011 5.1412
Ac 3.7452 -1.9629 4.4499
Ac -0.0163 0.4195 3.7634
Ac 1.1307 6.0769 0.1117
Ac -1.6475 -1.0193 7.7086
Ag 1.7225 -0.2130 6.8239
Ag 1.5222 2.8881 1.6827
Pd -1.0092 -4.1629 8.0576
Pd 2.9802 -4.8640 5.6522
Pd 1.4099 -2.0393 2.2247
Pd -2.5793 -1.3383 4.6301
```


No. 8
## AcAgPd2 (PBE-GGA)

Data for crystalline AcAgPd2 at its relaxed geometry.

Summary:
- Uncorrected energy: -19.3 eV for the cell shown
- E_form: -0.497 eV per atom
- Space group: P4/mmm (123)
- Spin magnetization: 0.000 μB per atom

Structure (extended XYZ):
```
4
Lattice="-2.0491 2.3719 -2.6157 -2.3561 -3.6455 -1.4599 -3.1839 0.7769 3.1987" Properties=species:S:1:pos:R:3 pbc="T T T"
Pd -1.1781 -1.8228 -0.7299
Pd -1.5920 0.3884 1.5993
Ac -3.7946 -0.2484 -0.4385
Ag -1.0245 1.1859 -1.3079
```


No. 9
## Ac2Ag2Pd3 (PBE-GGA)

Data for crystalline Ac2Ag2Pd3 at its relaxed geometry.

Summary:
- Uncorrected energy: -33.1 eV for the cell shown
- E_form: -0.511 eV per atom
- Space group: C2/m (12)
- Polymorph energy (0 for the lowest one): 6.2 kJ per mole of atoms
- Spin magnetization: 0.000 μB per atom

Structure (extended XYZ):
```
7
Lattice="-3.5467 -0.1397 -2.4965 4.2547 -3.8329 -2.0586 -3.5594 -3.2376 5.2379" Properties=species:S:1:pos:R:3 pbc="T T T"
Ag -2.8075 -5.1706 0.5064
Ag -0.0439 -2.0396 0.1765
Pd -2.8057 -2.2502 0.3404
Pd -0.0457 -4.9600 0.3425
Pd -1.7734 -0.0698 -1.2482
Ac -0.7422 -3.7789 -2.5057
Ac -2.1093 -3.4313 3.1886
```


No. 10
## Ac3Ag3Pd2 (PBE-GGA)

Data for crystalline Ac3Ag3Pd2 at its relaxed geometry.

Summary:
- Uncorrected energy: -70.7 eV for the cell shown
- E_form: -0.509 eV per atom
- Space group: Cmcm (63)
- Spin magnetization: 0.000 μB per atom

Structure (extended XYZ):
```
16
Lattice="4.4187 0.0000 0.0000 -2.2093 5.8249 0.0000 0.0000 0.0000 17.2360" Properties=species:S:1:pos:R:3 pbc="T T T"
Ac 0.0000 4.3991 12.9270
Ac 2.2093 4.4085 1.5701
Ac 2.2093 4.4085 7.0479
Ac 0.0000 1.4164 10.1882
Ac 0.0000 1.4164 15.6659
Ac 2.2093 1.4257 4.3090
Pd 2.2093 3.6155 10.7260
Pd 0.0000 2.2093 2.1080
Pd 0.0000 2.2093 6.5100
Pd 2.2093 3.6155 15.1280
Ag 0.0000 4.7628 9.5153
Ag 0.0000 4.7628 16.3388
Ag 2.2093 1.8328 12.9270
Ag 2.2093 1.0621 7.7207
Ag 2.2093 1.0621 0.8973
Ag 0.0000 3.9921 4.3090
```


No. 11
## Ac2Ag3Pd (PBE-GGA)

Data for crystalline Ac2Ag3Pd at its relaxed geometry.

Summary:
- Uncorrected energy: -24.6 eV for the cell shown
- E_form: -0.431 eV per atom
- Space group: Pmm2 (25)
- Spin magnetization: 0.000 μB per atom

Structure (extended XYZ):
```
6
Lattice="-1.4826 0.4671 -3.6685 3.7119 -2.5705 -1.8274 -4.3684 -6.9354 0.8824" Properties=species:S:1:pos:R:3 pbc="T T T"
Ag -1.8010 -5.6807 -2.1590
Ag -1.4686 -0.9211 -1.6873
Ag -4.3668 -5.5224 -1.1019
Ac 1.7753 -1.4133 -0.8974
Ac -2.1288 -3.3798 0.4300
Pd -0.3284 -3.3428 -2.4564
```


No. 12
## AcAg2Pd (PBE-GGA)

Data for crystalline AcAg2Pd at its relaxed geometry.

Summary:
- Uncorrected energy: -15.9 eV for the cell shown
- E_form: -0.235 eV per atom
- Space group: P4/mmm (123)
- Polymorph energy (0 for the lowest one): 19.6 kJ per mole of atoms
- Spin magnetization: 0.000 μB per atom

Structure (extended XYZ):
```
4
Lattice="5.2710 0.0000 0.0000 0.0000 4.2270 0.0000 0.0000 0.0000 4.2270" Properties=species:S:1:pos:R:3 pbc="T T T"
Pd 2.6355 2.1135 2.1135
Ag 0.0000 2.1135 0.0000
Ag 0.0000 0.0000 2.1135
Ac 2.6355 0.0000 0.0000
```


Question: Which value of uncorrected energy does entry 2 give?
Answer: -88.8 eV for the cell shown


Question: Number 1 is which compound?
Answer: AcAgPd2


Question: Look up the spin magnetization of the eleventh one.
Answer: 0.000 μB per atom


Question: Which value of E_form does entry 6 give?
Answer: -0.298 eV per atom